(1)
DFT (PBE-GGA) results for crystalline HfMnZnS4 at its relaxed geometry.

```
HfMnZnS4
1.0
-3.4067 6.1145 -2.2995
-6.8365 -0.4326 -2.8247
-5.8233 2.6103 3.7655
Hf Mn Zn S
2 2 2 8
Direct
0.5000 0.0000 0.5000
0.0000 0.0000 0.5000
0.0000 0.0000 0.0000
0.0000 0.5000 0.5000
0.6090 0.6410 0.1410
0.3910 0.3590 0.8590
0.7496 0.7584 0.7424
0.2504 0.7576 0.7416
0.7496 0.2424 0.2584
0.2504 0.2416 0.2576
0.2230 0.7589 0.2589
0.7592 0.7589 0.2589
0.2408 0.2411 0.7411
0.7770 0.2411 0.7411
```

## Properties
Its crystal system is orthorhombic. As for the magnetization: 0.682 μB per atom. The uncorrected formation energy is -1.018 eV/atom. For the volume, the calculation gives 20.37 Å³/atom.

(2)
DFT (PBE-GGA) results for crystalline SmCd5 at its relaxed geometry.

```
SmCd5
1.0
4.7630 0.0000 0.0000
0.0000 4.6656 0.0000
0.0000 -2.3328 6.4805
Sm Cd
1 5
Direct
0.0000 0.0000 0.0000
0.5000 0.8326 0.6652
0.0000 0.6763 0.3525
0.5000 0.5000 0.0000
0.0000 0.3237 0.6475
0.5000 0.1674 0.3348
```

## Properties
Its crystal system is orthorhombic. As for the magnetization: 0.000 μB per atom. For the volume, the calculation gives 24.00 Å³/atom. The energy of formation is -0.192 eV/atom.

(3)
DFT (PBE-GGA) results for crystalline CsScOsO6 at its relaxed geometry.

```
CsScOsO6
1.0
5.4218 0.0001 0.0000
2.7110 4.6954 -0.0001
0.0002 -0.0004 6.6285
Cs Sc Os O
1 1 1 6
Direct
0.0000 0.0000 0.0000
0.6666 0.6667 0.5000
0.3333 0.3333 0.5000
0.0317 0.3815 0.3343
0.3815 0.0317 0.6657
0.5867 0.3815 0.6657
0.0317 0.5868 0.6657
0.3815 0.5868 0.3343
0.5868 0.0317 0.3343
```

## Properties
Its crystal system is trigonal. As for the magnetization: 0.000 μB per atom. The uncorrected formation energy is -1.781 eV/atom. For the volume, the calculation gives 18.75 Å³/atom.

(4)
DFT (PBE-GGA) results for crystalline ZrScPt2 at its relaxed geometry.

```
ZrScPt2
1.0
-1.8521 -3.3114 0.7435
2.0297 -3.2075 0.7355
0.0349 -0.7880 6.6721
Pt Sc Zr
2 1 1
Direct
0.9991 0.9991 0.0025
0.5009 0.5009 0.4975
0.2500 0.2500 0.2500
0.7500 0.7500 0.7500
```

## Properties
Its crystal system is monoclinic. As for the magnetization: 0.000 μB per atom. For the volume, the calculation gives 20.55 Å³/atom. The energy of formation is -0.903 eV/atom.

Q: Which value of magnetization does entry 4 give?
A: 0.000 μB per atom